(1)
Ta2Mo3: optimized geometry, GGA-PBE.

Geometry as CIF:
```
data_Ta2Mo3
_cell_length_a 3.213
_cell_length_b 4.619
_cell_length_c 22.471
_cell_angle_alpha 90.00
_cell_angle_beta 90.00
_cell_angle_gamma 90.00
_space_group_name_H-M_alt 'F m m m'
_space_group_IT_number 69
_space_group_name_Hall '-F 2 2'
loop_
_atom_site_label
_atom_site_type_symbol
_atom_site_fract_x
_atom_site_fract_y
_atom_site_fract_z
Ta1 Ta 0.000 0.000 0.101
Mo1 Mo 0.000 0.000 0.298
Mo2 Mo 0.000 0.000 0.500
```

distance to the lowest polymorph of the same formula = 0.0787 eV per atom
energy of formation from the pure elements = -57 kJ/mol of formula units
spin magnetization = 0.00 μB per formula unit

---

(2)
LiTl2C: optimized geometry, GGA-PBE.

Geometry as CIF:
```
data_LiTl2C
_cell_length_a 6.552
_cell_length_b 6.552
_cell_length_c 9.063
_cell_angle_alpha 90.00
_cell_angle_beta 90.00
_cell_angle_gamma 90.00
_space_group_name_H-M_alt 'I -4 2 d'
_space_group_IT_number 122
_space_group_name_Hall 'I -4 2bw'
loop_
_atom_site_label
_atom_site_type_symbol
_atom_site_fract_x
_atom_site_fract_y
_atom_site_fract_z
Li1 Li 0.000 0.000 0.000
Tl1 Tl 0.176 0.250 0.625
C1 C 0.000 0.000 0.500
```

distance to the lowest polymorph of the same formula = 0.0000 eV per atom
energy of formation from the pure elements = 382 kJ/mol of formula units
spin magnetization = 0.00 μB per formula unit

---

(3)
Ce2MgRh9: optimized geometry, GGA-PBE.

Geometry as CIF:
```
data_Ce2MgRh9
_cell_length_a 5.2147
_cell_length_b 5.2147
_cell_length_c 26.5826
_cell_angle_alpha 90.00
_cell_angle_beta 90.00
_cell_angle_gamma 120.00
_space_group_name_H-M_alt 'R -3 m'
_space_group_IT_number 166
_space_group_name_Hall '-R 3 2"'
loop_
_atom_site_label
_atom_site_type_symbol
_atom_site_fract_x
_atom_site_fract_y
_atom_site_fract_z
Ce1 Ce 0.0000 0.0000 0.1357
Mg1 Mg 0.0000 0.0000 0.0000
Rh1 Rh 0.0000 0.0000 0.3329
Rh2 Rh 0.0000 0.0000 0.5000
Rh3 Rh 0.0018 0.5009 0.9174
```

distance to the lowest polymorph of the same formula = 0.0996 eV per atom
energy of formation from the pure elements = -458 kJ/mol of formula units
spin magnetization = 0.00 μB per formula unit

---

(4)
KZnCd2: optimized geometry, GGA-PBE.

Geometry as CIF:
```
data_KZnCd2
_cell_length_a 3.529
_cell_length_b 5.640
_cell_length_c 10.962
_cell_angle_alpha 90.00
_cell_angle_beta 90.00
_cell_angle_gamma 90.00
_space_group_name_H-M_alt 'I m m m'
_space_group_IT_number 71
_space_group_name_Hall '-I 2 2'
loop_
_atom_site_label
_atom_site_type_symbol
_atom_site_fract_x
_atom_site_fract_y
_atom_site_fract_z
K1 K 0.000 0.000 0.000
Zn1 Zn 0.000 0.000 0.500
Cd1 Cd 0.000 0.500 0.209
```

energy of formation from the pure elements = 34 kJ/mol of formula units
spin magnetization = 0.00 μB per formula unit

---

no.,mass density (Mg/m³)
1,12.9
2,7.3
3,9.8
4,5.0